# TbLuBeCu

A geometry-optimized TbLuBeCu structure (PBE, the Alexandria database).

Geometry as POSCAR:
```
TbLuBeCu
1.0
4.824 0.000 0.000
2.412 4.177 0.000
2.412 1.392 3.939
Be Tb Lu Cu
1 1 1 1
direct
0.500 0.500 0.500
0.250 0.250 0.250
0.750 0.750 0.750
0.000 0.000 0.000
```

Values from the calculation:
symmetry: F-43m
D(E_F): 2.7 states/eV/f.u.
crystal system: cubic
energy relative to the elements: -0.33 eV per formula unit